[1]
LiVPb2O5 GGA+U relaxed; total moment = 0.000 μB/f.u.; mass density = 6.405 g/cm³; E_tot = -6.132 eV/atom; space-group type = Cmc2_1 (36); volume = 143.2 Å³/f.u.
1.0
1.655 -8.304 0.000
1.655 8.304 0.000
0.000 0.000 10.417
Li V Pb O
2 2 4 10
Direct
0.205 0.795 0.500
0.795 0.205 0.000
0.436 0.564 0.942
0.564 0.436 0.442
0.142 0.858 0.789
0.157 0.843 0.132
0.843 0.157 0.632
0.858 0.142 0.289
0.053 0.947 0.523
0.294 0.706 0.161
0.322 0.678 0.479
0.340 0.660 0.886
0.496 0.504 0.815
0.504 0.496 0.315
0.660 0.340 0.386
0.678 0.322 0.979
0.706 0.294 0.661
0.947 0.053 0.023

---

[2]
Li2VPb2O6 GGA+U relaxed; total moment = 0.953 μB/f.u.; mass density = 6.597 g/cm³; E_tot = -5.797 eV/atom; space-group type = R-3m (166); volume = 144.8 Å³/f.u.
1.0
2.913 1.682 4.924
-2.913 1.682 4.924
0.000 -3.364 4.924
Li V Pb O
2 1 2 6
Direct
0.088 0.088 0.088
0.912 0.912 0.912
0.500 0.500 0.500
0.292 0.292 0.292
0.708 0.708 0.708
0.272 0.272 0.718
0.272 0.718 0.272
0.282 0.728 0.728
0.718 0.272 0.272
0.728 0.282 0.728
0.728 0.728 0.282

---

[3]
Li2V3PbO8 GGA+U relaxed; total moment = 3.005 μB/f.u.; mass density = 4.713 g/cm³; E_tot = -6.832 eV/atom; space-group type = R3m (160); volume = 176.8 Å³/f.u.
1.0
3.000 1.732 5.673
-3.000 1.732 5.673
0.000 -3.464 5.673
Li V Pb O
2 3 1 8
Direct
0.000 0.000 0.000
0.430 0.430 0.430
0.413 0.413 0.924
0.413 0.924 0.413
0.924 0.413 0.413
0.785 0.785 0.785
0.161 0.161 0.613
0.161 0.613 0.161
0.187 0.187 0.187
0.228 0.664 0.664
0.613 0.161 0.161
0.640 0.640 0.640
0.664 0.228 0.664
0.664 0.664 0.228

---

[4]
LiVPbO5 GGA+U relaxed; total moment = 0.000 μB/f.u.; mass density = 4.847 g/cm³; E_tot = -6.276 eV/atom; space-group type = C2/c (15); volume = 118.2 Å³/f.u.
1.0
4.049 -4.336 0.000
4.049 4.336 0.000
-3.634 0.000 6.735
Li V Pb O
2 2 2 10
Direct
0.181 0.819 0.750
0.819 0.181 0.250
0.132 0.868 0.250
0.868 0.132 0.750
0.500 0.500 0.000
0.500 0.500 0.500
0.186 0.186 0.343
0.186 0.186 0.843
0.247 0.753 0.064
0.247 0.753 0.436
0.403 0.597 0.750
0.597 0.403 0.250
0.753 0.247 0.564
0.753 0.247 0.936
0.814 0.814 0.157
0.814 0.814 0.657

---

[5]
LiPb3W2O9 GGA+U relaxed; total moment = 1.000 μB/f.u.; mass density = 9.418 g/cm³; E_tot = -6.436 eV/atom; space-group type = P-3m1 (164); volume = 201.0 Å³/f.u.
1.0
5.718 0.000 0.000
-2.859 4.952 0.000
0.000 0.000 7.101
Li Pb W O
1 3 2 9
Direct
0.000 0.000 0.000
0.000 0.000 0.500
0.333 0.667 0.128
0.667 0.333 0.872
0.333 0.667 0.668
0.667 0.333 0.332
0.000 0.500 0.500
0.174 0.348 0.822
0.174 0.826 0.822
0.348 0.174 0.178
0.500 0.000 0.500
0.500 0.500 0.500
0.652 0.826 0.822
0.826 0.174 0.178
0.826 0.652 0.178

---

[6]
Li2Pb2WO6 GGA+U relaxed; total moment = 0.000 μB/f.u.; mass density = 6.346 g/cm³; E_tot = -6.114 eV/atom; space-group type = P-3 (147); volume = 185.3 Å³/f.u.
1.0
5.286 0.000 0.000
-2.643 4.578 0.000
0.000 0.000 7.657
Li Pb W O
2 2 1 6
Direct
0.333 0.667 0.426
0.667 0.333 0.574
0.333 0.667 0.818
0.667 0.333 0.182
0.000 0.000 0.500
0.015 0.312 0.645
0.298 0.985 0.645
0.312 0.298 0.355
0.688 0.702 0.645
0.702 0.015 0.355
0.985 0.688 0.355